(1)
A plane-wave DFT calculation with GGA-PBE was carried out for an optimized crystal structure of Tb3Ho4Ga4.

Computed properties:
- calculated total energy (eV per atom) = -4.39
- formation energy (eV per atom) = -0.3659
- symmetry = No. 71

a = 4.963 Å, b = 6.815 Å, c = 9.394 Å
α = 111.27°, β = 105.32°, γ = 90.00°
Element x y z (fractional)
Tb 0.000 0.500 0.000
Tb 0.902 0.902 0.804
Tb 0.098 0.098 0.196
Ho 0.322 0.089 0.645
Ho 0.322 0.555 0.645
Ho 0.678 0.911 0.355
Ho 0.678 0.445 0.355
Ga 0.177 0.677 0.353
Ga 0.500 0.801 0.000
Ga 0.823 0.323 0.647
Ga 0.500 0.199 0.000

***

(2)
A plane-wave DFT calculation with GGA-PBE was carried out for an optimized crystal structure of TbHo2Ga6.

Computed properties:
- calculated total energy (eV per atom) = -4.18
- formation energy (eV per atom) = -0.6302
- symmetry = No. 191

a = 3.823 Å, b = 7.462 Å, c = 7.462 Å
α = 120.00°, β = 90.00°, γ = 90.00°
Element x y z (fractional)
Ga 0.500 0.666 0.000
Ga 0.500 0.666 0.666
Ga 0.500 0.000 0.666
Ga 0.500 0.334 0.334
Ga 0.500 0.334 0.000
Ga 0.500 0.000 0.334
Ho 0.000 0.333 0.667
Ho 0.000 0.667 0.333
Tb 0.000 0.000 0.000

***

(3)
A plane-wave DFT calculation with GGA-PBE was carried out for an optimized crystal structure of TbHo2Ga4.

Computed properties:
- calculated total energy (eV per atom) = -4.34
- formation energy (eV per atom) = -0.6375
- symmetry = No. 71

a = 4.125 Å, b = 4.246 Å, c = 9.559 Å
α = 102.83°, β = 102.46°, γ = 90.00°
Element x y z (fractional)
Ga 0.933 0.433 0.866
Ga 0.647 0.647 0.294
Ga 0.067 0.567 0.134
Ga 0.353 0.353 0.706
Tb 0.500 0.000 0.000
Ho 0.185 0.185 0.370
Ho 0.815 0.815 0.630

***

(4)
A plane-wave DFT calculation with GGA-PBE was carried out for an optimized crystal structure of TbHo2Ga.

Computed properties:
- calculated total energy (eV per atom) = -4.44
- formation energy (eV per atom) = -0.2397
- symmetry = No. 123

a = 4.712 Å, b = 4.715 Å, c = 4.715 Å
α = 90.00°, β = 90.00°, γ = 90.00°
Element x y z (fractional)
Tb 0.500 0.500 0.500
Ga 0.500 0.000 0.000
Ho 0.000 0.500 0.000
Ho 0.000 0.000 0.500

***

- Which of these has the lowest calculated total energy?
  TbHo2Ga

***

- Which formula does entry 3 have?
  TbHo2Ga4

***

- What is the formation energy in the first record?
  -0.3659 eV per atom

***

- What is the formula in the third record?
  TbHo2Ga4